Entry 1:
First-principles (PBE-GGA) data for a relaxed CdFeCu2 crystal, as listed in Alexandria via LeMat-Bulk.

Computed properties:
Uncorrected energy (eV per atom): -4.094
M_tot (μB per formula unit): 2.9
N(E_F) (states/eV per cell): 12.219

Cell lengths 6.116, 6.116, 6.116 Å; angles 90.00, 90.00, 90.00 degrees
Sites, in units of the cell vectors:
Cd: 0.000 0.000 0.000
Cd: 0.000 0.500 0.500
Cd: 0.500 0.000 0.500
Cd: 0.500 0.500 0.000
Fe: 0.250 0.250 0.750
Fe: 0.250 0.750 0.250
Fe: 0.750 0.250 0.250
Fe: 0.750 0.750 0.750
Cu: 0.000 0.000 0.500
Cu: 0.000 0.500 0.000
Cu: 0.250 0.250 0.250
Cu: 0.250 0.750 0.750
Cu: 0.500 0.000 0.000
Cu: 0.500 0.500 0.500
Cu: 0.750 0.250 0.750
Cu: 0.750 0.750 0.250

Entry 2:
First-principles (PBE-GGA) data for a relaxed Te2AsOs2 crystal, as listed in Alexandria via LeMat-Bulk.

Computed properties:
Energy above the lowest structure with this stoichiometry (meV/atom): 141
M_tot (μB per formula unit): 0.0
N(E_F) (states/eV per cell): 7.942

Cell lengths 4.431, 4.431, 10.920 Å; angles 90.00, 90.00, 90.00 degrees
Sites, in units of the cell vectors:
Te: 0.000 0.500 0.250
Te: 0.000 0.500 0.750
Te: 0.500 0.000 0.250
Te: 0.500 0.000 0.750
As: 0.000 0.000 0.000
As: 0.500 0.500 0.500
Os: 0.000 0.000 0.390
Os: 0.000 0.000 0.610
Os: 0.500 0.500 0.110
Os: 0.500 0.500 0.890